PBE TbY8Ho5, optimized geometry; energy of formation from the pure elements = 0.251 eV per atom; space-group type = I-4 (82); final energy = -5.41 eV/atom
1.0
8.044 0.000 -2.544
-4.118 6.748 -2.945
0.193 0.000 8.434
Tb Y Ho
1 8 5
Direct
0.250 0.500 0.750
0.167 0.740 0.079
0.921 0.088 0.661
0.726 0.251 0.333
0.667 0.394 0.919
0.525 0.606 0.274
0.573 0.912 0.833
0.339 0.260 0.427
0.081 0.749 0.475
0.036 0.321 0.137
0.863 0.899 0.184
0.816 0.679 0.715
0.500 0.000 0.500
0.285 0.101 0.964

---

PBE YMnTc2, optimized geometry; energy of formation from the pure elements = 0.244 eV per atom; space-group type = Cm (8); final energy = -8.85 eV/atom; distance to the lowest polymorph of the same formula = 84 meV per atom
1.0
-1.053 1.359 5.123
-0.571 -1.832 5.052
3.724 0.501 2.769
Mn Tc Y
1 2 1
Direct
0.271 0.271 0.230
0.007 0.007 0.993
0.727 0.727 0.773
0.495 0.495 0.505

---

PBE La2NbO4, optimized geometry; space-group type = I4/mmm (139); final energy = -8.39 eV/atom
1.0
-1.141 -3.885 -0.183
3.817 -1.155 0.722
0.163 -2.471 6.560
Nb O La
1 4 2
Direct
0.000 0.000 0.000
0.176 0.176 0.649
0.824 0.824 0.351
0.000 0.500 0.000
0.500 0.000 0.000
0.353 0.353 0.293
0.647 0.647 0.707

---

DOS at the Fermi energy (computed, states/eV per atom): 1.569; 0.988; 0.348